A plane-wave DFT calculation with GGA+U was carried out for Li5Co3O8 after structural relaxation.

Total energy (eV per cell): -87.75
Space group: C2/m
Polymorph energy (0 for the lowest one) (eV/atom): 0.000

Cell lengths 5.674, 5.674, 4.991 Å; angles 73.05, 73.05, 59.91 degrees
Fractional coordinates of all 16 atoms:
Li 0.000 0.000 0.000
Li 0.752 0.752 0.500
Li 0.761 0.239 0.500
Li 0.248 0.248 0.500
Li 0.239 0.761 0.500
Co 0.500 0.000 0.000
Co 0.500 0.500 0.000
Co 0.000 0.500 0.000
O 0.389 0.858 0.780
O 0.140 0.140 0.221
O 0.611 0.142 0.220
O 0.371 0.371 0.781
O 0.860 0.860 0.779
O 0.142 0.611 0.220
O 0.858 0.389 0.780
O 0.629 0.629 0.219